Entry 1:
First-principles (GGA-PBE) data for an optimized crystal structure of Pr3TlCu2, as listed in Alexandria via LeMat-Bulk.

Calculated values
The value obtained for the density of states at the Fermi level is 7.319 states/eV/f.u. As for the space-group type: R-3c (167). The total magnetization is 0.00 μB per cell. The calculation puts the calculated formation energy at -0.039 eV/atom. As for the theoretical density: 7.4 g/cm3.

abc: 7.1896 7.1896 7.1896
angles: 75.04 75.04 75.04
Element x y z (fractional)
Pr  0.2500  0.5676  0.9324
Pr  0.7500  0.4324  0.0676
Pr  0.0676  0.7500  0.4324
Pr  0.9324  0.2500  0.5676
Pr  0.5676  0.9324  0.2500
Pr  0.4324  0.0676  0.7500
Cu  0.6724  0.6724  0.6724
Cu  0.8276  0.8276  0.8276
Cu  0.3276  0.3276  0.3276
Cu  0.1724  0.1724  0.1724
Tl  0.0000  0.0000  0.0000
Tl  0.5000  0.5000  0.5000

Entry 2:
First-principles (GGA-PBE) data for an optimized crystal structure of Mn2CrP, as listed in Alexandria via LeMat-Bulk.

Calculated values
The value obtained for the density of states at the Fermi level is 3.893 states/eV/f.u. As for the space-group type: Cmcm (63). The total magnetization is 0.94 μB per cell. The calculation puts the calculated formation energy at -0.276 eV/atom. As for the theoretical density: 7.2 g/cm3.

abc: 2.7869 4.9872 6.6793
angles: 90.00 90.00 106.22
Site moments in Bohr magnetons follow the coordinates.
Element x y z (fractional)
P  0.7521  0.5041  0.7500  0.01
P  0.2479  0.4959  0.2500  0.01
Mn  0.3706  0.7412  0.9585  -0.35
Mn  0.6294  0.2588  0.4585  -0.35
Mn  0.6294  0.2588  0.0415  -0.35
Mn  0.3706  0.7412  0.5415  -0.35
Cr  0.0369  0.0739  0.7500  1.11
Cr  0.9631  0.9261  0.2500  1.11

Entry 3:
First-principles (GGA-PBE) data for an optimized crystal structure of Sr4Pd3Pt, as listed in Alexandria via LeMat-Bulk.

Calculated values
The value obtained for the density of states at the Fermi level is 2.282 states/eV/f.u. As for the space-group type: Pmm2 (25). The total magnetization is 0.00 μB per cell. The calculation puts the calculated formation energy at -0.661 eV/atom. As for the theoretical density: 6.5 g/cm3.

abc: 4.2744 4.5441 11.3083
angles: 90.00 90.00 90.00
Element x y z (fractional)
Sr  0.0000  0.5000  0.8639
Sr  0.0000  0.0000  0.1393
Sr  0.5000  0.0000  0.6394
Sr  0.5000  0.5000  0.3566
Pt  0.5000  0.5000  0.0732
Pd  0.0000  0.5000  0.5711
Pd  0.5000  0.0000  0.9280
Pd  0.0000  0.0000  0.4283

Entry 4:
First-principles (GGA-PBE) data for an optimized crystal structure of NiAgMo2, as listed in Alexandria via LeMat-Bulk.

Calculated values
The value obtained for the density of states at the Fermi level is 4.063 states/eV/f.u. As for the space-group type: Cmmm (65). The total magnetization is 0.00 μB per cell. The calculation puts the calculated formation energy at 0.373 eV/atom. As for the theoretical density: 10.0 g/cm3.

abc: 5.0030 5.9288 2.6587
angles: 63.34 90.01 118.25
Element x y z (fractional)
Ni  0.5000  0.5000  0.0000
Mo  0.0000  0.0000  0.0000
Mo  0.0000  0.5000  0.5000
Ag  0.5000  0.0000  0.5000